1.
Computed, not measured: VAs2SeO after structural relaxation at the GGA+U level of DFT.

Properties
Fermi-level density of states = 1.64 states/eV/cell
theoretical density = 5.8 Mg/m³
SG = P4/mmm (123)
offset from the most stable computed form = 0.0 meV/atom

a = 4.2646 Å, b = 4.2646 Å, c = 4.6724 Å
α = 90.00°, β = 90.00°, γ = 90.00°
Element x y z (fractional)
1 V 0.0000 0.0000 0.0000
2 As 0.0000 0.5000 0.5000
3 As 0.5000 0.0000 0.5000
4 Se 0.5000 0.5000 0.0000
5 O 0.5000 0.5000 0.5000

=====

2.
Computed, not measured: As2WSeO after structural relaxation at the GGA+U level of DFT.

Properties
Fermi-level density of states = 4.40 states/eV/cell
theoretical density = 6.1 Mg/m³
SG = P4/mmm (123)
offset from the most stable computed form = 517.9 meV/atom

a = 4.9167 Å, b = 4.9167 Å, c = 4.7899 Å
α = 90.00°, β = 90.00°, γ = 90.00°
Element x y z (fractional)
1 As 0.0000 0.5000 0.0000
2 As 0.5000 0.0000 0.0000
3 W 0.0000 0.0000 0.0000
4 Se 0.0000 0.0000 0.5000
5 O 0.5000 0.5000 0.5000

=====

3.
Computed, not measured: As2WSeO after structural relaxation at the GGA+U level of DFT.

Properties
Fermi-level density of states = 1.85 states/eV/cell
theoretical density = 8.2 Mg/m³
SG = P4/mmm (123)
offset from the most stable computed form = 0.0 meV/atom

a = 4.3060 Å, b = 4.3060 Å, c = 4.6664 Å
α = 90.00°, β = 90.00°, γ = 90.00°
Element x y z (fractional)
1 As 0.0000 0.5000 0.0000
2 As 0.5000 0.0000 0.0000
3 W 0.0000 0.0000 0.5000
4 Se 0.5000 0.5000 0.5000
5 O 0.5000 0.5000 0.0000